16
Lattice="-4.662 0.583 -3.683 -0.683 -1.602 5.710 -0.827 9.384 2.534" Properties=species:S:1:pos:R:3 comment="Ag14BiPd PBE-GGA relaxed" volume_a3_per_atom=18.47 dft_energy_ev_per_atom=-3.034 delta_e_f_ev_per_atom=0.03 pbc="T T T"
Ag -1.540 -1.131 3.687
Ag -3.518 -0.045 -0.982
Ag -0.887 3.967 3.795
Ag -1.194 -0.336 0.856
Ag -3.571 3.456 4.813
Ag -3.857 -0.844 1.866
Ag -2.484 7.121 1.239
Ag -2.059 2.301 -0.062
Ag -5.123 6.618 2.241
Ag -4.698 1.798 0.939
Ag -2.803 6.240 4.061
Ag -2.393 1.588 2.805
Ag -4.782 7.427 -0.559
Ag -4.353 2.565 -1.872
Bi -1.231 3.163 6.660
Pd -3.232 4.262 1.938